A relaxed ScAlGe2 crystal. Source: Alexandria via LeMat-Bulk, functional GGA-PBE.

The value obtained for the calculated volume is 286.2 Å³/cell. The value obtained for the energy of formation from the pure elements is -1.578 eV/f.u.

It has space group I4/mmm (No. 139), with a = 3.9694 Å, b = 3.9694 Å, c = 18.1645 Å, α = 90.00°, β = 90.00° and γ = 90.00°. The asymmetric unit holds Sc at (0.0000, 0.0000, 0.1162), Al at (0.0000, 0.5000, 0.2500), Ge at (0.0000, 0.0000, 0.3549) and Ge at (0.0000, 0.5000, 0.0000).